1.
Below is a relaxed structure of NaZn2Ag2, with properties calculated at the GGA-PBEsol level.

Geometry as extended XYZ:
```
10
Lattice="2.7956 0.0000 0.0000 0.0000 7.8347 0.0000 0.0000 0.0000 7.8347" Properties=species:S:1:pos:R:3 pbc="T T T"
Ag 0.0000 2.8758 6.7932
Ag 0.0000 1.0415 2.8758
Ag 0.0000 6.7932 4.9588
Ag 0.0000 4.9588 1.0415
Zn 1.3978 1.2888 5.2062
Zn 1.3978 2.6285 1.2888
Zn 1.3978 6.5459 2.6285
Zn 1.3978 5.2062 6.5459
Na 0.0000 3.9173 3.9173
Na 0.0000 0.0000 0.0000
```

Output
total moment	0.000	Bohr magnetons per cell
D(E_F)	0.322	states/eV/atom
energy of formation	-1.0	kcal/mol of atoms


2.
Below is a relaxed structure of NaZnAg3, with properties calculated at the GGA-PBEsol level.

Geometry as extended XYZ:
```
5
Lattice="4.7932 0.0000 0.0000 0.0000 4.7932 0.0000 0.0000 0.0000 4.7932" Properties=species:S:1:pos:R:3 pbc="T T T"
Zn 2.3966 2.3966 2.3966
Ag 0.0000 0.0000 2.3966
Ag 2.3966 0.0000 0.0000
Ag 0.0000 2.3966 0.0000
Na 0.0000 0.0000 0.0000
```

Output
total moment	0.000	Bohr magnetons per cell
D(E_F)	0.351	states/eV/atom
energy of formation	23.4	kcal/mol of atoms


3.
Below is a relaxed structure of NaZr2Ag, with properties calculated at the GGA-PBEsol level.

Geometry as extended XYZ:
```
4
Lattice="-2.9806 -3.3277 -1.9301 -2.9945 -2.5424 2.8726 -4.7943 0.8218 -0.1482" Properties=species:S:1:pos:R:3 pbc="T T T"
Na 0.0000 0.0000 0.0000
Ag -5.3847 -2.5242 0.3971
Zr -2.6924 -1.2621 0.1986
Zr -8.0771 -3.7863 0.5957
```

Output
total moment	0.001	Bohr magnetons per cell
D(E_F)	1.151	states/eV/atom
energy of formation	10.7	kcal/mol of atoms


4.
Below is a relaxed structure of NbAgO3, with properties calculated at the GGA-PBEsol level.

Geometry as extended XYZ:
```
10
Lattice="-0.2720 2.6489 -1.5429 -5.7100 1.2975 3.2343 5.1080 2.5537 3.4835" Properties=species:S:1:pos:R:3 pbc="T T T"
O 0.7879 4.3741 4.3012
O 1.0894 2.4455 0.9371
O -1.6619 2.1260 0.8737
O 2.3978 2.2390 3.4211
O -2.9998 1.6122 3.2967
O -1.9634 4.0546 4.2378
Ag -0.1360 1.3244 -0.7715
Ag -0.4370 3.2501 2.5874
Nb -2.8550 0.6488 1.6172
Nb 2.5540 1.2769 1.7418
```

Output
total moment	0.000	Bohr magnetons per cell
formation energy without anion corrections	-1.702	eV per atom


5.
Below is a relaxed structure of NbAgO3, with properties calculated at the GGA-PBEsol level.

Geometry as extended XYZ:
```
5
Lattice="3.9808 0.0000 0.0000 0.0000 3.9808 0.0000 0.0000 0.0000 3.9808" Properties=species:S:1:pos:R:3 pbc="T T T"
O 0.0000 1.9904 0.0000
O 0.0000 0.0000 1.9904
O 1.9904 0.0000 0.0000
Nb 0.0000 0.0000 0.0000
Ag 1.9904 1.9904 1.9904
```

Output
total moment	0.000	Bohr magnetons per cell
formation energy without anion corrections	-1.695	eV per atom


6.
Below is a relaxed structure of Nb3AgO8, with properties calculated at the GGA-PBEsol level.

Geometry as extended XYZ:
```
24
Lattice="-0.3874 2.3968 -6.5972 -3.7608 -3.8559 -4.9255 -6.3636 2.6361 -2.4140" Properties=species:S:1:pos:R:3 pbc="T T T"
O -2.0306 1.8497 -6.6995
O -4.2699 0.1246 -7.1948
O -7.2654 2.0251 -8.5578
O -8.4812 -0.6726 -7.2372
O -4.2791 1.8639 -5.0463
O -6.2419 1.0524 -6.7419
O -5.8563 0.8058 -10.5996
O -6.2327 -0.6869 -8.8904
O -1.7928 0.5413 -3.4435
O -4.6555 0.3713 -3.3372
O -3.4769 0.5786 -9.3057
O -3.2464 -0.8480 -5.3789
O -4.4358 2.8341 -7.7167
O -6.0759 -1.6571 -6.2200
O -7.0348 0.5984 -4.6310
O -8.7190 0.6358 -10.4932
Nb -5.3527 1.1877 -8.6177
Nb -8.1706 1.4071 -6.4998
Nb -2.3412 -0.2301 -7.4369
Nb -3.4744 1.8811 -2.8580
Nb -7.0374 -0.7040 -11.0787
Nb -5.1591 -0.0107 -5.3191
Ag -0.2905 1.7976 -4.9479
Ag -0.0968 0.5992 -1.6493
```

Output
total moment	0.000	Bohr magnetons per cell
formation energy without anion corrections	-2.210	eV per atom


7.
Below is a relaxed structure of NbAgO3, with properties calculated at the GGA-PBEsol level.

Geometry as extended XYZ:
```
20
Lattice="-4.9820 -1.8804 -1.4999 1.4965 -5.0695 1.6331 -2.7555 1.5208 7.2462" Properties=species:S:1:pos:R:3 pbc="T T T"
O 0.0882 -4.3695 1.3013
O -5.1758 -1.6961 3.0450
O -3.8037 -4.0767 3.7158
O -6.3292 -1.0595 6.0781
O -1.0596 -2.1127 0.0405
O -2.4259 -4.8371 0.0927
O -2.4373 -1.3523 3.6636
O -4.8465 -3.7132 1.0897
O -3.3927 -0.8144 1.0341
O -1.0652 -3.7329 4.3344
O -1.3946 -1.7158 6.2897
O -2.8484 -4.6146 6.3453
Nb -3.8688 -0.1798 2.8732
Nb -0.6295 -1.7743 4.4396
Nb 0.7483 -2.5347 0.8165
Nb -2.4910 -0.9402 -0.7499
Ag -5.6209 -1.5248 0.3358
Ag -2.4035 -3.1086 1.8918
Ag -3.8376 -2.3204 5.4876
Ag -0.6201 -3.9042 7.0436
```

Output
total moment	0.001	Bohr magnetons per cell
formation energy without anion corrections	-1.738	eV per atom


8.
Below is a relaxed structure of NbAgO3, with properties calculated at the GGA-PBEsol level.

Geometry as extended XYZ:
```
40
Lattice="-4.9094 -0.7413 -2.4755 -0.7925 -4.7103 2.9823 -6.9235 8.2872 11.2491" Properties=species:S:1:pos:R:3 pbc="T T T"
Nb -5.7073 3.8830 7.1342
Nb -8.6266 1.1469 7.3531
Nb -3.9779 1.8129 4.3242
Nb -6.8971 -0.9232 4.5431
Nb -5.2100 -3.2656 1.8986
Nb -10.4042 2.9517 10.3380
Nb -7.4849 5.6878 10.1190
Nb -2.2907 -0.5295 1.6797
O -6.0270 -1.7223 0.6400
O -3.1628 0.2690 5.5843
O -8.8391 4.4380 10.5913
O -5.7039 -1.6600 6.2040
O -8.9224 6.7207 8.8583
O -8.0953 -0.2066 5.9775
O -9.1312 2.1069 9.0393
O -1.9918 -3.4083 4.3656
O -6.9803 4.7270 8.4330
O -4.5887 -4.0704 0.1744
O -7.1876 0.1160 8.6146
O -3.5186 0.5835 2.8085
O -4.6018 2.6162 6.0481
O -5.1350 2.6297 8.7887
O -3.3983 -2.0744 1.7512
O -9.1682 4.3160 5.0641
O -10.9770 4.2027 8.6826
O -7.2744 2.3982 6.8799
O -7.1960 1.9553 1.8596
O -1.0906 -1.2469 0.2473
O -5.6695 -2.0366 3.4149
O -3.4816 0.2083 0.0182
O -5.7907 0.6222 4.4692
O -6.9418 2.5167 12.4083
Ag -7.2607 2.4824 4.5102
Ag -3.8426 -1.9296 -0.9435
Ag -9.0455 4.4159 7.3911
Ag -5.5838 0.2723 1.7666
Ag -5.3439 0.4765 7.1676
Ag -7.0657 2.4195 10.0804
Ag -1.9289 -3.9359 1.7124
Ag -3.6040 -1.7241 4.4558
```

Output
total moment	0.000	Bohr magnetons per cell
formation energy without anion corrections	-1.747	eV per atom


9.
Below is a relaxed structure of NbAgO3, with properties calculated at the GGA-PBEsol level.

Geometry as extended XYZ:
```
10
Lattice="3.9795 0.0000 0.0000 0.0000 5.5266 0.0000 0.0000 0.0000 5.5266" Properties=species:S:1:pos:R:3 pbc="T T T"
Ag 1.9898 2.7633 0.0000
Ag 1.9898 0.0000 2.7633
O 0.0000 3.8059 1.0426
O 1.9898 2.7633 2.7633
O 0.0000 1.7207 4.4840
O 0.0000 4.4840 3.8059
O 1.9898 0.0000 0.0000
O 0.0000 1.0426 1.7207
Nb 0.0000 0.0000 0.0000
Nb 0.0000 2.7633 2.7633
```

Output
total moment	0.000	Bohr magnetons per cell
formation energy without anion corrections	-1.733	eV per atom


10.
Below is a relaxed structure of NbAgPO2, with properties calculated at the GGA-PBEsol level.

Geometry as extended XYZ:
```
5
Lattice="-1.3559 -3.5830 -0.6514 1.0748 -1.0579 3.5814 -4.2575 1.3085 1.6643" Properties=species:S:1:pos:R:3 pbc="T T T"
O 0.5374 -0.5289 1.7907
O -0.6779 -1.7915 -0.3257
Nb -2.2693 -1.6662 2.2971
Ag 0.0000 0.0000 0.0000
P -2.1288 0.6543 0.8321
```

Output
total moment	0.964	Bohr magnetons per cell
D(E_F)	0.817	states/eV/atom
formation energy without anion corrections	0.463	eV per atom


11.
Below is a relaxed structure of NbAgRh2O, with properties calculated at the GGA-PBEsol level.

Geometry as extended XYZ:
```
5
Lattice="-2.7713 -0.3588 3.0252 2.4660 -2.6655 1.9429 1.8184 3.1706 2.0419" Properties=species:S:1:pos:R:3 pbc="T T T"
Ag 0.9092 1.5853 1.0209
Nb 0.7565 0.0732 3.5050
Rh -1.3856 -0.1794 1.5126
Rh 1.2330 -1.3327 0.9714
O 0.0000 0.0000 0.0000
```

Output
total moment	0.012	Bohr magnetons per cell
D(E_F)	1.493	states/eV/atom
formation energy without anion corrections	0.348	eV per atom


12.
Below is a relaxed structure of TaNbAg2O6, with properties calculated at the GGA-PBEsol level.

Geometry as extended XYZ:
```
10
Lattice="3.9672 0.0000 0.0000 0.0000 3.9672 0.0000 0.0000 0.0000 7.9360" Properties=species:S:1:pos:R:3 pbc="T T T"
O 0.0000 1.9836 3.9680
O 1.9836 0.0000 3.9680
O 0.0000 1.9836 0.0000
O 1.9836 1.9836 1.9942
O 1.9836 0.0000 0.0000
O 1.9836 1.9836 5.9419
Nb 1.9836 1.9836 0.0000
Ag 0.0000 0.0000 1.9890
Ag 0.0000 0.0000 5.9471
Ta 1.9836 1.9836 3.9680
```

Output
total moment	0.001	Bohr magnetons per cell
formation energy without anion corrections	-1.822	eV per atom


13.
Below is a relaxed structure of TaNbAg2O6, with properties calculated at the GGA-PBEsol level.

Geometry as extended XYZ:
```
40
Lattice="5.5035 0.0000 0.0000 0.0000 5.6038 0.0000 0.0000 0.0000 15.6329" Properties=species:S:1:pos:R:3 pbc="T T T"
O 5.2933 1.2132 13.4032
O 0.2292 4.0265 13.3966
O 2.9810 4.4629 13.9521
O 0.9838 0.0000 7.8164
O 0.2102 4.0151 10.0461
O 5.2933 4.3906 2.2297
O 4.5197 2.8019 0.0000
O 0.9945 0.0000 0.0000
O 1.7567 5.4697 3.8960
O 0.2102 1.5887 5.5868
O 5.2744 1.2246 10.0527
O 4.5090 2.8019 7.8164
O 0.2292 1.5773 2.2363
O 3.7468 2.9360 11.7124
O 2.5225 3.9428 6.1357
O 2.9896 1.1539 6.1349
O 3.7468 2.6678 3.9204
O 5.2744 4.3792 5.5802
O 2.5139 1.6480 13.9514
O 2.5139 3.9558 1.6815
O 1.7567 0.1341 11.7368
O 2.9896 4.4499 9.4979
O 2.9810 1.1409 1.6807
O 2.5225 1.6610 9.4971
Ag 4.1843 5.5122 11.7298
Ag 1.3544 2.8019 7.8164
Ag 1.3505 2.8019 0.0000
Ag 1.3192 2.8935 3.9133
Ag 4.1843 0.0916 3.9031
Ag 1.3192 2.7103 11.7195
Ag 4.1530 0.0000 7.8164
Ag 4.1492 0.0000 0.0000
Ta 4.1072 2.7275 9.7679
Ta 1.3963 5.5294 13.6814
Ta 1.3963 0.0744 1.9514
Ta 4.1072 2.8763 5.8650
Nb 4.1071 2.7225 13.6718
Nb 1.3964 0.0794 5.8554
Nb 1.3964 5.5244 9.7775
Nb 4.1071 2.8813 1.9611
```

Output
total moment	0.000	Bohr magnetons per cell
formation energy without anion corrections	-1.862	eV per atom


14.
Below is a relaxed structure of NbZn2AgO, with properties calculated at the GGA-PBEsol level.

Geometry as extended XYZ:
```
5
Lattice="-3.3399 3.5202 -1.3806 -2.3863 -3.3911 -2.8737 -2.9392 -1.2520 3.9181" Properties=species:S:1:pos:R:3 pbc="T T T"
Ag -1.4696 -0.6260 1.9591
Zn -1.6699 1.7601 -0.6903
Zn -1.1932 -1.6956 -1.4368
Nb 0.0000 0.0000 0.0000
O -4.3327 -0.5615 -0.1681
```

Output
total moment	0.941	Bohr magnetons per cell
D(E_F)	1.034	states/eV/atom
formation energy without anion corrections	1.797	eV per atom


15.
Below is a relaxed structure of NbAg3Pt, with properties calculated at the GGA-PBEsol level.

Geometry as extended XYZ:
```
5
Lattice="4.9092 0.0000 0.0000 0.0000 4.9092 0.0000 0.0000 0.0000 4.9092" Properties=species:S:1:pos:R:3 pbc="T T T"
Ag 0.0000 0.0000 2.4546
Ag 0.0000 2.4546 0.0000
Ag 2.4546 0.0000 0.0000
Nb 0.0000 0.0000 0.0000
Pt 2.4546 2.4546 2.4546
```

Output
total moment	0.300	Bohr magnetons per cell
D(E_F)	1.866	states/eV/atom
energy of formation	46.6	kcal/mol of atoms


16.
Below is a relaxed structure of NbAg3Pt, with properties calculated at the GGA-PBEsol level.

Geometry as extended XYZ:
```
5
Lattice="4.8967 0.0000 0.0000 0.0000 4.8967 0.0000 0.0000 0.0000 4.8967" Properties=species:S:1:pos:R:3 pbc="T T T"
Pt 0.0000 0.0000 0.0000
Ag 0.0000 2.4483 0.0000
Ag 0.0000 0.0000 2.4483
Ag 2.4483 0.0000 0.0000
Nb 2.4483 2.4483 2.4483
```

Output
total moment	3.337	Bohr magnetons per cell
D(E_F)	1.070	states/eV/atom
energy of formation	32.7	kcal/mol of atoms


17.
Below is a relaxed structure of Nb3AgPt, with properties calculated at the GGA-PBEsol level.

Geometry as extended XYZ:
```
5
Lattice="-0.2149 -3.2086 -3.5230 -1.7809 -3.2169 3.0385 -4.4198 1.4523 -1.0530" Properties=species:S:1:pos:R:3 pbc="T T T"
Pt -3.2078 -2.4866 -0.7688
Nb -0.1075 -1.6043 -1.7615
Nb -0.8905 -1.6084 1.5192
Nb -2.2099 0.7261 -0.5265
Ag 0.0000 0.0000 0.0000
```

Output
total moment	0.005	Bohr magnetons per cell
D(E_F)	1.767	states/eV/atom
energy of formation	43.7	kcal/mol of atoms


18.
Below is a relaxed structure of NbAgPt3, with properties calculated at the GGA-PBEsol level.

Geometry as extended XYZ:
```
5
Lattice="4.7102 0.0000 0.0000 0.0000 4.7102 0.0000 0.0000 0.0000 4.7102" Properties=species:S:1:pos:R:3 pbc="T T T"
Pt 0.0000 2.3551 0.0000
Pt 0.0000 0.0000 2.3551
Pt 2.3551 0.0000 0.0000
Nb 2.3551 2.3551 2.3551
Ag 0.0000 0.0000 0.0000
```

Output
total moment	1.852	Bohr magnetons per cell
D(E_F)	1.709	states/eV/atom
energy of formation	38.1	kcal/mol of atoms


19.
Below is a relaxed structure of RbNbZnAg2, with properties calculated at the GGA-PBEsol level.

Geometry as extended XYZ:
```
5
Lattice="5.2356 0.0000 0.0000 0.0000 5.2948 0.0000 0.0000 0.0000 5.2948" Properties=species:S:1:pos:R:3 pbc="T T T"
Nb 2.6178 2.6474 2.6474
Ag 0.0000 2.6474 0.0000
Ag 0.0000 0.0000 2.6474
Rb 0.0000 0.0000 0.0000
Zn 2.6178 0.0000 0.0000
```

Output
total moment	3.278	Bohr magnetons per cell
D(E_F)	0.931	states/eV/atom
energy of formation	47.1	kcal/mol of atoms


20.
Below is a relaxed structure of NbRe3Ag, with properties calculated at the GGA-PBEsol level.

Geometry as extended XYZ:
```
5
Lattice="-2.0900 -3.1633 -2.7675 3.4075 -3.0848 0.9527 -2.4607 -1.5848 3.6698" Properties=species:S:1:pos:R:3 pbc="T T T"
Nb 0.0000 0.0000 0.0000
Re -1.0450 -1.5817 -1.3838
Re 1.7037 -1.5424 0.4763
Re -1.2304 -0.7924 1.8349
Ag -0.5716 -3.9164 0.9275
```

Output
total moment	0.887	Bohr magnetons per cell
D(E_F)	1.675	states/eV/atom
energy of formation	59.3	kcal/mol of atoms


| no. | E (eV per cell) |
| --- | --- |
| 1 | -22.8 |
| 2 | -7.9 |
| 3 | -21.0 |
| 4 | -76.8 |
| 5 | -38.4 |
| 6 | -208.6 |
| 7 | -154.3 |
| 8 | -308.9 |
| 9 | -77.1 |
| 10 | -28.1 |
| 11 | -33.9 |
| 12 | -79.7 |
| 13 | -320.4 |
| 14 | -13.6 |
| 15 | -17.6 |
| 16 | -20.6 |
| 17 | -33.3 |
| 18 | -26.8 |
| 19 | -9.8 |
| 20 | -41.3 |